# 1
An optimized crystal structure of RbCd3Pd, computed with GGA-PBE.

E_form in eV/atom: -0.16
Crystal system: monoclinic
Space-group type: No. 12

Geometry as extended XYZ:
```
10
Lattice="6.7639 -2.3837 0.0000 6.7639 2.3837 0.0000 -3.9117 0.0000 8.7608" Properties=species:S:1:pos:R:3 pbc="T T T"
Rb 2.1804 0.0000 1.2512
Rb 7.4356 0.0000 7.5096
Cd -2.0829 0.0000 5.9109
Cd 0.6737 0.0000 4.7223
Cd 6.1019 0.0000 1.3268
Cd 3.5142 0.0000 7.4341
Cd 8.9423 0.0000 4.0385
Cd 11.6989 0.0000 2.8500
Pd 3.4771 0.0000 4.7010
Pd 6.1389 0.0000 4.0599
```

***

# 2
An optimized crystal structure of Nb2GaBr, computed with GGA-PBE.

E in eV/atom: -5.932
Crystal system: cubic
Space-group type: No. 225

Geometry as extended XYZ:
```
4
Lattice="0.0000 3.2760 3.2760 3.2760 0.0000 3.2760 3.2760 3.2760 0.0000" Properties=species:S:1:pos:R:3 pbc="T T T"
Nb 1.6380 1.6380 1.6380
Nb 4.9140 4.9140 4.9140
Ga 0.0000 0.0000 0.0000
Br 3.2760 3.2760 3.2760
```

***

# 3
An optimized crystal structure of Cs4Ce3CdSe8, computed with GGA-PBE.

E in eV/atom: -4.586
Crystal system: trigonal
Space-group type: No. 166

Geometry as extended XYZ:
```
16
Lattice="4.3775 2.5274 8.3441 -4.3775 2.5274 8.3441 0.0000 -5.0548 8.3441" Properties=species:S:1:pos:R:3 pbc="T T T"
Cs 0.0000 0.0000 0.0000
Cs -2.1888 -1.2637 8.3441
Cs -2.1888 1.2637 16.6882
Cs 0.0000 2.5274 8.3441
Ce -4.3775 0.0000 12.5161
Ce -2.1888 1.2637 4.1720
Ce 2.1888 1.2637 4.1720
Cd 0.0000 0.0000 12.5161
Se -2.2026 -1.2717 14.0695
Se 0.0000 0.0000 5.7463
Se 0.0000 -2.5433 10.9627
Se -2.2026 1.2717 10.9627
Se 2.2026 -1.2717 14.0695
Se 0.0000 2.5433 14.0695
Se 0.0000 0.0000 19.2859
Se 2.2026 1.2717 10.9627
```

***

# 4
An optimized crystal structure of SnCIO2, computed with GGA-PBE.

E in eV/atom: -4.296
Crystal system: tetragonal
Space-group type: No. 123

Geometry as extended XYZ:
```
5
Lattice="3.8844 0.0000 0.0000 0.0000 3.8844 0.0000 0.0000 0.0000 6.9309" Properties=species:S:1:pos:R:3 pbc="T T T"
Sn 0.0000 0.0000 0.0000
C 1.9422 1.9422 3.4655
I 0.0000 0.0000 3.4655
O 0.0000 1.9422 0.0000
O 1.9422 0.0000 0.0000
```

***

# 5
An optimized crystal structure of RbSrNpF6, computed with GGA-PBE.

E in eV/atom: -6.383
Crystal system: trigonal
Space-group type: No. 163

Geometry as extended XYZ:
```
18
Lattice="6.5722 0.0000 0.0000 -3.2861 5.6917 0.0000 0.0000 0.0000 10.6680" Properties=species:S:1:pos:R:3 pbc="T T T"
Rb 0.0000 0.0000 0.0000
Rb 0.0000 0.0000 5.3340
Sr 0.0000 3.7944 2.6670
Sr 3.2861 1.8972 8.0010
Np 0.0000 3.7944 8.0010
Np 3.2861 1.8972 2.6670
F -1.1469 2.1651 6.8397
F -1.9845 3.6158 9.1622
F 1.1469 2.1651 9.1622
F -0.8376 5.6024 6.8397
F 2.4485 0.0893 1.5057
F 1.3016 2.0758 3.8283
F 1.9845 3.6158 6.8397
F 0.8376 5.6024 9.1622
F 4.1236 0.0893 3.8283
F 2.1391 3.5265 1.5057
F 5.2706 2.0758 1.5057
F 4.4330 3.5265 3.8283
```

***

# 6
An optimized crystal structure of Ba2NpIr3O12, computed with GGA-PBE.

E in eV/atom: -7.386
Crystal system: trigonal
Space-group type: No. 166

Geometry as extended XYZ:
```
18
Lattice="3.5793 2.0665 6.1515 -3.5793 2.0665 6.1515 0.0000 -4.1330 6.1515" Properties=species:S:1:pos:R:3 pbc="T T T"
Ba 0.0000 0.0000 1.9543
Ba 0.0000 0.0000 16.5004
Np 0.0000 0.0000 9.2273
Ir -1.7897 -1.0333 6.1515
Ir -1.7897 1.0333 12.3031
Ir 0.0000 2.0665 6.1515
O -1.5146 -0.8745 8.1299
O 0.0000 -1.7394 5.8184
O -1.5063 0.8697 5.8184
O -1.5063 -0.8697 12.6362
O 0.0000 -1.7489 10.3247
O -1.5146 0.8745 10.3247
O 1.5146 -0.8745 8.1299
O 0.0000 1.7489 8.1299
O 1.5064 0.8697 5.8184
O 1.5063 -0.8697 12.6362
O 0.0000 1.7394 12.6362
O 1.5146 0.8745 10.3247
```

***

Number 1: magnetization 0.00 μB/f.u.. Number 2: magnetization 0.00 μB/f.u.. Number 3: magnetization 2.01 μB/f.u.. Number 4: magnetization 1.23 μB/f.u.. Number 5: magnetization 4.00 μB/f.u.. Number 6: magnetization 0.63 μB/f.u..